## LiTcSn2Pd (PBE)

Data for a geometry-optimized LiTcSn2Pd structure.

Results
- V (Å³/atom) = 22.815
- raw total energy (eV/atom) = -4.551
- ΔH_f (0 K) (eV per atom) = 0.54
- magnetization (μB per formula unit) = 3.22

Cell lengths 5.0805, 5.0805, 4.4196 Å; angles 90.00, 90.00, 90.00 degrees
Closest atoms and distances in Å follow each position.
Space group P4/mmm (No. 123)
Symmetry-distinct sites (fractional):
Li  0.0000  0.0000  0.0000 (multiplicity 1)  2 Pd 2.21
Tc  0.5000  0.5000  0.0000 (multiplicity 1)  8 Sn 3.37, 4 Li 3.59
Sn  0.0000  0.5000  0.5000 (multiplicity 2)  2 Pd 2.54
Pd  0.0000  0.0000  0.5000 (multiplicity 1)  2 Li 2.21